[1]
{"formula": "Pm3RhCl", "functional": "PBE", "state": "relaxed", "lattice_angstrom": [[3.819, 0.000, 0.000], [0.000, 9.816, 0.000], [0.000, 0.000, 7.602]], "species": ["Pm", "Pm", "Pm", "Pm", "Pm", "Pm", "Rh", "Rh", "Cl", "Cl"], "fractional_positions": [[0.250, 0.431, 0.174], [0.750, 0.569, 0.826], [0.250, 0.069, 0.174], [0.750, 0.931, 0.826], [0.250, 0.250, 0.715], [0.750, 0.750, 0.285], [0.750, 0.250, 0.969], [0.250, 0.750, 0.031], [0.750, 0.250, 0.406], [0.250, 0.750, 0.594]], "formation_energy_uncorrected_ev_per_atom": -0.791, "e_tot_ev_per_atom": -5.48, "space_group": "Pmmn, No. 59"}

=====

[2]
{"formula": "Pm7RhCl12", "functional": "PBE", "state": "relaxed", "lattice_angstrom": [[-2.515, -4.969, -7.308], [9.157, -0.543, 0.531], [-3.330, -4.317, 7.396]], "species": ["Pm", "Pm", "Pm", "Pm", "Pm", "Pm", "Pm", "Rh", "Cl", "Cl", "Cl", "Cl", "Cl", "Cl", "Cl", "Cl", "Cl", "Cl", "Cl", "Cl"], "fractional_positions": [[0.985, 0.684, 0.889], [0.316, 0.111, 0.015], [0.111, 0.015, 0.316], [0.500, 0.500, 0.500], [0.889, 0.985, 0.684], [0.684, 0.889, 0.985], [0.015, 0.316, 0.111], [0.000, 0.000, 0.000], [0.921, 0.320, 0.790], [0.680, 0.210, 0.079], [0.459, 0.175, 0.374], [0.825, 0.626, 0.541], [0.210, 0.079, 0.680], [0.626, 0.541, 0.825], [0.374, 0.459, 0.175], [0.790, 0.921, 0.320], [0.175, 0.374, 0.459], [0.541, 0.825, 0.626], [0.320, 0.790, 0.921], [0.079, 0.680, 0.210]], "formation_energy_uncorrected_ev_per_atom": -1.913, "e_tot_ev_per_atom": -5.05, "space_group": "R-3, No. 148"}

=====

[3]
{"formula": "Pm6Ru2RhCl3", "functional": "PBE", "state": "relaxed", "lattice_angstrom": [[6.976, -0.003, 0.000], [-3.489, 6.041, 0.000], [-1.163, -2.014, 7.584]], "species": ["Pm", "Pm", "Pm", "Pm", "Pm", "Pm", "Ru", "Ru", "Rh", "Cl", "Cl", "Cl"], "fractional_positions": [[0.931, 0.593, 0.794], [0.730, 0.730, 0.206], [0.069, 0.407, 0.206], [0.593, 0.931, 0.794], [0.270, 0.270, 0.794], [0.407, 0.069, 0.206], [0.334, 0.666, 0.000], [0.666, 0.334, 0.000], [0.000, 0.000, 0.000], [0.170, 0.830, 0.500], [0.830, 0.170, 0.500], [0.500, 0.500, 0.500]], "formation_energy_uncorrected_ev_per_atom": -0.980, "e_tot_ev_per_atom": -5.98, "space_group": "C2/m, No. 12"}

=====

[4]
{"formula": "Pm6RuRh2Cl3", "functional": "PBE", "state": "relaxed", "lattice_angstrom": [[-0.305, -1.311, -3.794], [3.945, -7.639, 2.323], [-9.342, 0.052, 2.869]], "species": ["Pm", "Pm", "Pm", "Pm", "Pm", "Pm", "Ru", "Rh", "Rh", "Cl", "Cl", "Cl"], "fractional_positions": [[0.346, 0.898, 0.691], [0.677, 0.558, 0.353], [0.654, 0.102, 0.309], [0.008, 0.223, 0.015], [0.992, 0.777, 0.985], [0.323, 0.442, 0.647], [0.500, 0.000, 0.000], [0.833, 0.667, 0.666], [0.167, 0.333, 0.334], [0.500, 0.500, 0.000], [0.835, 0.169, 0.670], [0.165, 0.831, 0.330]], "formation_energy_uncorrected_ev_per_atom": -1.087, "e_tot_ev_per_atom": -5.92, "space_group": "C2/m, No. 12"}

=====

[5]
{"formula": "Pm3RhSCl", "functional": "PBE", "state": "relaxed", "lattice_angstrom": [[-2.099, -3.103, 1.489], [4.408, 0.427, 7.102], [-7.154, 5.626, 1.641]], "species": ["Pm", "Pm", "Pm", "Pm", "Pm", "Pm", "Rh", "Rh", "S", "S", "Cl", "Cl"], "fractional_positions": [[0.750, 0.891, 0.108], [0.250, 0.109, 0.892], [0.250, 0.721, 0.498], [0.750, 0.279, 0.502], [0.750, 0.427, 0.156], [0.250, 0.573, 0.844], [0.250, 0.667, 0.155], [0.750, 0.333, 0.845], [0.250, 0.178, 0.228], [0.750, 0.822, 0.772], [0.250, 0.100, 0.597], [0.750, 0.900, 0.403]], "formation_energy_uncorrected_ev_per_atom": -1.158, "e_tot_ev_per_atom": -5.75, "space_group": "P2_1/m, No. 11"}

=====

[6]
{"formula": "Pm6Rh3S2Cl", "functional": "PBE", "state": "relaxed", "lattice_angstrom": [[-0.007, -0.169, 3.975], [8.591, -0.327, 0.001], [-2.707, 8.930, -1.617]], "species": ["Pm", "Pm", "Pm", "Pm", "Pm", "Pm", "Rh", "Rh", "Rh", "S", "S", "Cl"], "fractional_positions": [[0.323, 0.924, 0.645], [0.665, 0.584, 0.331], [0.677, 0.076, 0.355], [0.000, 0.272, 0.999], [0.000, 0.728, 0.001], [0.335, 0.416, 0.669], [0.500, 0.500, 0.000], [0.838, 0.177, 0.675], [0.162, 0.823, 0.325], [0.835, 0.675, 0.669], [0.165, 0.325, 0.331], [0.500, 0.000, 0.000]], "formation_energy_uncorrected_ev_per_atom": -1.236, "e_tot_ev_per_atom": -6.29, "space_group": "C2/m, No. 12"}

=====

[7]
{"formula": "Pm4RhSeCl2", "functional": "PBE", "state": "relaxed", "lattice_angstrom": [[-0.055, -0.420, 4.005], [4.913, -5.354, -0.494], [6.852, 3.061, 0.415]], "species": ["Pm", "Pm", "Pm", "Pm", "Rh", "Se", "Cl", "Cl"], "fractional_positions": [[0.000, 0.731, 0.746], [0.000, 0.269, 0.254], [0.500, 0.718, 0.281], [0.500, 0.282, 0.719], [0.000, 0.500, 0.500], [0.500, 0.500, 0.000], [0.000, 0.000, 0.000], [0.500, 0.000, 0.500]], "formation_energy_uncorrected_ev_per_atom": -1.349, "e_tot_ev_per_atom": -5.54, "space_group": "P2/m, No. 10"}

=====

[8]
{"formula": "Pm6Si2RhCl3", "functional": "PBE", "state": "relaxed", "lattice_angstrom": [[4.133, 0.000, 0.000], [0.000, 8.585, 0.350], [-2.067, -2.427, 8.840]], "species": ["Pm", "Pm", "Pm", "Pm", "Pm", "Pm", "Si", "Si", "Rh", "Cl", "Cl", "Cl"], "fractional_positions": [[0.344, 0.899, 0.688], [0.673, 0.575, 0.345], [0.656, 0.101, 0.312], [0.005, 0.230, 0.009], [0.995, 0.770, 0.991], [0.327, 0.425, 0.655], [0.835, 0.660, 0.670], [0.165, 0.340, 0.330], [0.500, 0.000, 0.000], [0.500, 0.500, 0.000], [0.825, 0.160, 0.651], [0.175, 0.840, 0.349]], "formation_energy_uncorrected_ev_per_atom": -1.140, "e_tot_ev_per_atom": -5.49, "space_group": "C2/m, No. 12"}